DFT (PBE) results for AlFeRe2Br after structural relaxation.

```
AlFeRe2Br
1.0
-4.5183 -0.0917 -0.0165
0.0229 -1.8788 4.1849
-0.0904 4.1218 1.8510
Re Fe Br Al
2 1 1 1
Direct
0.0000 0.0000 0.5000
0.5000 0.0000 0.0000
0.0000 0.0000 0.0000
0.0000 0.5000 0.0000
0.5000 0.5000 0.5000
```

Summary:
The value obtained for the formation energy without anion corrections is 161 kJ/mol of atoms. As for the crystal system: tetragonal.